Density functional theory data (PBE) for NbN after structural relaxation.

Calculated values
Calculated volume   13.76 Å³ per atom
Spin magnetization   0.00 μB per formula unit
Final energy   -9.86 eV/atom
ΔE_f (raw)   -128 kJ/mol of formula units

Unit cell a=3.389 b=3.389 c=3.389 alpha=60.00 beta=60.00 gamma=60.00
Element x y z (fractional)
Nb 0.000 0.000 0.000
N 0.250 0.250 0.250

***

Density functional theory data (PBE) for NbN after structural relaxation.

Calculated values
Calculated volume   11.08 Å³ per atom
Spin magnetization   0.00 μB per formula unit
Final energy   -10.16 eV/atom
ΔE_f (raw)   -186 kJ/mol of formula units

Unit cell a=5.947 b=5.947 c=5.947 alpha=29.21 beta=29.21 gamma=29.21
Element x y z (fractional)
Nb 0.000 0.000 0.000
Nb 0.169 0.169 0.169
N 0.419 0.419 0.419
N 0.582 0.582 0.582

***

Density functional theory data (PBE) for Nb2N3 after structural relaxation.

Calculated values
Calculated volume   10.28 Å³ per atom
Spin magnetization   0.00 μB per formula unit
Final energy   -9.87 eV/atom
ΔE_f (raw)   -408 kJ/mol of formula units

Unit cell a=8.314 b=3.021 c=8.187 alpha=90.00 beta=90.00 gamma=90.00
Element x y z (fractional)
Nb 0.022 0.250 0.187
Nb 0.195 0.250 0.504
Nb 0.305 0.750 0.004
Nb 0.478 0.750 0.687
Nb 0.522 0.250 0.313
Nb 0.695 0.250 0.996
Nb 0.805 0.750 0.496
Nb 0.978 0.750 0.813
N 0.046 0.750 0.374
N 0.121 0.250 0.952
N 0.221 0.750 0.702
N 0.279 0.250 0.202
N 0.379 0.750 0.452
N 0.454 0.250 0.874
N 0.546 0.750 0.126
N 0.621 0.250 0.548
N 0.721 0.750 0.798
N 0.779 0.250 0.298
N 0.879 0.750 0.048
N 0.954 0.250 0.626

***

Density functional theory data (PBE) for NdNbN3 after structural relaxation.

Calculated values
Calculated volume   13.79 Å³ per atom
Spin magnetization   0.00 μB per formula unit
Final energy   -8.71 eV/atom
ΔE_f (raw)   -360 kJ/mol of formula units

Unit cell a=4.101 b=4.101 c=4.101 alpha=90.00 beta=90.00 gamma=90.00
Element x y z (fractional)
Nd 0.000 0.000 0.000
Nb 0.500 0.500 0.500
N 0.000 0.500 0.500
N 0.500 0.000 0.500
N 0.500 0.500 0.000

***

Density functional theory data (PBE) for NdNb3N6 after structural relaxation.

Calculated values
Calculated volume   12.07 Å³ per atom
Spin magnetization   0.00 μB per formula unit
Final energy   -9.38 eV/atom
ΔE_f (raw)   -857 kJ/mol of formula units

Unit cell a=8.659 b=3.226 c=9.056 alpha=90.00 beta=107.37 gamma=90.00
Element x y z (fractional)
Nd 0.079 0.250 0.201
Nd 0.921 0.750 0.799
Nb 0.163 0.250 0.589
Nb 0.323 0.750 0.998
Nb 0.496 0.250 0.329
Nb 0.504 0.750 0.671
Nb 0.677 0.250 0.002
Nb 0.837 0.750 0.411
N 0.073 0.750 0.408
N 0.148 0.250 0.952
N 0.246 0.750 0.722
N 0.316 0.750 0.233
N 0.384 0.250 0.529
N 0.479 0.250 0.099
N 0.521 0.750 0.901
N 0.616 0.750 0.471
N 0.684 0.250 0.767
N 0.754 0.250 0.278
N 0.852 0.750 0.048
N 0.927 0.250 0.592

***

Density functional theory data (PBE) for Nd3Nb2N7 after structural relaxation.

Calculated values
Calculated volume   14.01 Å³ per atom
Spin magnetization   0.00 μB per formula unit
Final energy   -8.56 eV/atom
ΔE_f (raw)   -969 kJ/mol of formula units

Unit cell a=10.844 b=10.844 c=3.782 alpha=90.00 beta=90.00 gamma=157.79
Element x y z (fractional)
Nd 0.000 0.000 0.000
Nd 0.185 0.815 0.000
Nd 0.815 0.185 0.000
Nb 0.406 0.594 0.500
Nb 0.594 0.406 0.500
N 0.094 0.906 0.500
N 0.266 0.734 0.500
N 0.378 0.622 0.000
N 0.500 0.500 0.500
N 0.622 0.378 0.000
N 0.734 0.266 0.500
N 0.906 0.094 0.500

***

Density functional theory data (PBE) for Nd3NbN3 after structural relaxation.

Calculated values
Calculated volume   17.89 Å³ per atom
Spin magnetization   0.00 μB per formula unit
Final energy   -8.21 eV/atom
ΔE_f (raw)   -780 kJ/mol of formula units

Unit cell a=6.924 b=6.924 c=5.271 alpha=90.00 beta=90.00 gamma=97.59
Element x y z (fractional)
Nd 0.109 0.891 0.750
Nd 0.160 0.398 0.750
Nd 0.398 0.160 0.250
Nd 0.602 0.840 0.750
Nd 0.840 0.602 0.250
Nd 0.891 0.109 0.250
Nb 0.323 0.677 0.250
Nb 0.677 0.323 0.750
N 0.128 0.872 0.250
N 0.151 0.410 0.250
N 0.410 0.151 0.750
N 0.590 0.849 0.250
N 0.849 0.590 0.750
N 0.872 0.128 0.750

***

Density functional theory data (PBE) for Nd2NbN3 after structural relaxation.

Calculated values
Calculated volume   16.07 Å³ per atom
Spin magnetization   0.00 μB per formula unit
Final energy   -8.63 eV/atom
Energy above the lowest structure with this stoichiometry   0 meV/atom
ΔE_f (raw)   -695 kJ/mol of formula units

Unit cell a=6.260 b=6.260 c=12.366 alpha=92.12 beta=92.12 gamma=127.00
Element x y z (fractional)
Nd 0.022 0.422 0.359
Nd 0.112 0.340 0.922
Nd 0.340 0.112 0.422
Nd 0.422 0.022 0.859
Nd 0.578 0.978 0.141
Nd 0.660 0.888 0.578
Nd 0.888 0.660 0.078
Nd 0.978 0.578 0.641
Nb 0.291 0.298 0.169
Nb 0.298 0.291 0.669
Nb 0.702 0.709 0.331
Nb 0.709 0.702 0.831
N 0.012 0.988 0.750
N 0.129 0.331 0.539
N 0.140 0.487 0.116
N 0.331 0.129 0.039
N 0.359 0.641 0.750
N 0.487 0.140 0.616
N 0.513 0.860 0.384
N 0.641 0.359 0.250
N 0.669 0.871 0.961
N 0.860 0.513 0.884
N 0.871 0.669 0.461
N 0.988 0.012 0.250